NbMoRu2 | PBE | optimized geometry

The calculation puts the total energy at -9.805 eV/atom. The calculation puts the formation energy at 0.058 eV/atom. The calculation puts the energy relative to the lowest polymorph listed for this composition at 83 meV per atom. The size of the total moment comes out at 0.000 μB/atom. The calculation puts the density of states at the Fermi level at 4.260 states/eV per cell. Its symmetry is R3m, No. 160.

Cell lengths 9.168, 9.168, 9.168 Å; angles 17.64, 17.64, 17.64 degrees
Positions (direct):
Nb1 0.000 0.000 0.000
Mo1 0.167 0.167 0.167
Ru1 0.421 0.421 0.421
Ru2 0.580 0.580 0.580

=====

Mn2GeHN | PBE | optimized geometry

The calculation puts the total energy at -6.954 eV/atom. The calculation puts the energy relative to the lowest polymorph listed for this composition at 73 meV per atom. The size of the total moment comes out at 0.685 μB/atom. The calculation puts the density of states at the Fermi level at 2.061 states/eV per cell. Its symmetry is Cm, No. 8.

Cell lengths 3.143, 3.143, 6.377 Å; angles 92.00, 92.00, 57.46 degrees
Positions (direct):
Mn1 0.000 0.000 0.000
Mn2 0.690 0.690 0.345
Ge1 0.312 0.312 0.685
H1 0.676 0.676 0.042
N1 0.013 0.013 0.298

=====

KCdGaBi | PBE | optimized geometry

The calculation puts the total energy at -2.267 eV/atom. The calculation puts the formation energy at -0.037 eV/atom. The calculation puts the energy relative to the lowest polymorph listed for this composition at 68 meV per atom. The size of the total moment comes out at 0.000 μB/atom. The calculation puts the density of states at the Fermi level at 2.629 states/eV per cell. Its symmetry is F-43m, No. 216.

Cell lengths 5.502, 5.502, 5.502 Å; angles 60.00, 60.00, 60.00 degrees
Positions (direct):
K1 0.000 0.000 0.000
Cd1 0.250 0.250 0.250
Ga1 0.750 0.750 0.750
Bi1 0.500 0.500 0.500

=====

Sc3Si2Ni3 | PBE | optimized geometry

The calculation puts the total energy at -6.648 eV/atom. The calculation puts the energy relative to the lowest polymorph listed for this composition at 0 meV per atom. The size of the total moment comes out at 0.000 μB/atom. The calculation puts the density of states at the Fermi level at 18.909 states/eV per cell. Its symmetry is Pnma, No. 62.

Cell lengths 6.938, 13.972, 5.185 Å; angles 90.00, 90.00, 90.00 degrees
Positions (direct):
Sc1 0.031 0.107 0.140
Sc2 0.031 0.393 0.140
Sc3 0.174 0.250 0.607
Sc4 0.326 0.750 0.107
Sc5 0.469 0.607 0.640
Sc6 0.469 0.893 0.640
Sc7 0.531 0.107 0.360
Sc8 0.531 0.393 0.360
Sc9 0.674 0.250 0.893
Sc10 0.826 0.750 0.393
Sc11 0.969 0.607 0.860
Sc12 0.969 0.893 0.860
Si1 0.121 0.607 0.361
Si2 0.121 0.893 0.361
Si3 0.379 0.107 0.861
Si4 0.379 0.393 0.861
Si5 0.621 0.607 0.139
Si6 0.621 0.893 0.139
Si7 0.879 0.107 0.639
Si8 0.879 0.393 0.639
Ni1 0.174 0.034 0.588
Ni2 0.174 0.466 0.588
Ni3 0.183 0.750 0.596
Ni4 0.317 0.250 0.096
Ni5 0.326 0.534 0.088
Ni6 0.326 0.966 0.088
Ni7 0.674 0.034 0.912
Ni8 0.674 0.466 0.912
Ni9 0.683 0.750 0.904
Ni10 0.817 0.250 0.404
Ni11 0.826 0.534 0.412
Ni12 0.826 0.966 0.412

=====

ErTmTcAg | PBE | optimized geometry

The calculation puts the total energy at -5.731 eV/atom. The calculation puts the formation energy at -0.168 eV/atom. The size of the total moment comes out at 0.000 μB/atom. The calculation puts the density of states at the Fermi level at 2.360 states/eV per cell. Its symmetry is F-43m, No. 216.

Cell lengths 4.915, 4.915, 4.915 Å; angles 60.00, 60.00, 60.00 degrees
Positions (direct):
Er1 0.000 0.000 0.000
Tm1 0.500 0.500 0.500
Tc1 0.750 0.750 0.750
Ag1 0.250 0.250 0.250

=====

La3SnIrCl | PBE | optimized geometry

The calculation puts the total energy at -5.897 eV/atom. The size of the total moment comes out at 0.000 μB/atom. The calculation puts the density of states at the Fermi level at 9.193 states/eV per cell. Its symmetry is P2_1/m, No. 11.

Cell lengths 7.934, 4.641, 10.074 Å; angles 90.00, 109.01, 90.00 degrees
Positions (direct):
La1 0.030 0.250 0.358
La2 0.215 0.250 0.974
La3 0.430 0.750 0.620
La4 0.570 0.250 0.380
La5 0.785 0.750 0.026
La6 0.970 0.750 0.642
Sn1 0.235 0.750 0.225
Sn2 0.765 0.250 0.775
Ir1 0.218 0.250 0.639
Ir2 0.782 0.750 0.361
Cl1 0.379 0.750 0.896
Cl2 0.621 0.250 0.104

=====

Nd2Er7Tm | PBE | optimized geometry

The calculation puts the total energy at -4.439 eV/atom. The calculation puts the formation energy at 0.156 eV/atom. The size of the total moment comes out at 0.000 μB/atom. The calculation puts the density of states at the Fermi level at 14.542 states/eV per cell. Its symmetry is Cmmm, No. 65.

Cell lengths 14.682, 14.682, 3.493 Å; angles 90.00, 90.00, 154.64 degrees
Positions (direct):
Nd1 0.208 0.792 0.000
Nd2 0.792 0.208 0.000
Er1 0.000 0.000 0.000
Er2 0.157 0.352 0.000
Er3 0.316 0.684 0.500
Er4 0.352 0.157 0.000
Er5 0.648 0.843 0.000
Er6 0.684 0.316 0.500
Er7 0.843 0.648 0.000
Tm1 0.500 0.500 0.500

=====

SrLiMn2 | PBE | optimized geometry

The calculation puts the total energy at -4.743 eV/atom. The calculation puts the formation energy at 0.740 eV/atom. The calculation puts the energy relative to the lowest polymorph listed for this composition at 373 meV per atom. The size of the total moment comes out at 1.878 μB/atom. The calculation puts the density of states at the Fermi level at 3.143 states/eV per cell. Its symmetry is Cmmm, No. 65.

Cell lengths 5.379, 5.379, 3.418 Å; angles 90.00, 90.00, 112.62 degrees
Positions (direct):
Sr1 0.000 0.000 0.000
Li1 0.500 0.500 0.000
Mn1 0.000 0.500 0.500
Mn2 0.500 0.000 0.500

=====

K2ReI | PBE | optimized geometry

The calculation puts the total energy at -3.124 eV/atom. The calculation puts the energy relative to the lowest polymorph listed for this composition at 0 meV per atom. The size of the total moment comes out at 1.000 μB/atom. The calculation puts the density of states at the Fermi level at 8.303 states/eV per cell. Its symmetry is Fm-3m, No. 225.

Cell lengths 6.035, 6.035, 6.035 Å; angles 60.00, 60.00, 60.00 degrees
Positions (direct):
K1 0.250 0.250 0.250
K2 0.750 0.750 0.750
Re1 0.000 0.000 0.000
I1 0.500 0.500 0.500

=====

ThSc2CdC | PBE | optimized geometry

The calculation puts the total energy at -6.383 eV/atom. The calculation puts the formation energy at -0.339 eV/atom. The size of the total moment comes out at 0.000 μB/atom. The calculation puts the density of states at the Fermi level at 3.938 states/eV per cell. Its symmetry is P4/mmm, No. 123.

Cell lengths 4.656, 4.656, 5.034 Å; angles 90.00, 90.00, 90.00 degrees
Positions (direct):
Th1 0.000 0.000 0.000
Sc1 0.000 0.500 0.500
Sc2 0.500 0.000 0.500
Cd1 0.500 0.500 0.000
C1 0.000 0.000 0.500

=====

- Among the records above, which one has the highest total energy?
  KCdGaBi

=====

Copy entry 10 word for word.
ThSc2CdC | PBE | optimized geometry

The calculation puts the total energy at -6.383 eV/atom. The calculation puts the formation energy at -0.339 eV/atom. The size of the total moment comes out at 0.000 μB/atom. The calculation puts the density of states at the Fermi level at 3.938 states/eV per cell. Its symmetry is P4/mmm, No. 123.

Cell lengths 4.656, 4.656, 5.034 Å; angles 90.00, 90.00, 90.00 degrees
Positions (direct):
Th1 0.000 0.000 0.000
Sc1 0.000 0.500 0.500
Sc2 0.500 0.000 0.500
Cd1 0.500 0.500 0.000
C1 0.000 0.000 0.500